Record 1
Er2PuV | GGA-PBE | optimized geometry

Lattice parameters (Å, degrees): 10.6159 10.6159 10.6159 18.25 18.25 18.25
Last column: nearest neighbours and their distance in Å.
Fractional positions:
Er (0.2392, 0.2392, 0.2392)  3 V 2.99
Er (0.7608, 0.7608, 0.7608)  3 V 2.99
Pu (0.0000, 0.0000, 0.0000)  6 Pu 3.37, 6 Er 3.53
V (0.5000, 0.5000, 0.5000)  6 Er 2.99

Calculated values
E_tot   -7.753 eV/atom
Crystal system   trigonal
Energy of formation   391 meV/atom

***

Record 2
Y3Er12Pu | GGA-PBE | optimized geometry

Lattice parameters (Å, degrees): 4.9712 4.9712 19.8288 90.00 90.00 90.00
Last column: nearest neighbours and their distance in Å.
Fractional positions:
Y (0.0000, 0.0000, 0.0000)  12 Er 3.52-3.53
Y (0.0000, 0.0000, 0.2526)  12 Er 3.52-3.53
Y (0.0000, 0.0000, 0.7474)  12 Er 3.52-3.53
Er (0.0000, 0.5000, 0.1263)  8 Er 3.51-3.53, 4 Y 3.53
Er (0.0000, 0.5000, 0.3790)  8 Er 3.46-3.55, 2 Pu 3.46, 2 Y 3.53
Er (0.0000, 0.5000, 0.6210)  8 Er 3.46-3.55, 2 Pu 3.46, 2 Y 3.53
Er (0.0000, 0.5000, 0.8737)  8 Er 3.51-3.53, 4 Y 3.53
Er (0.5000, 0.0000, 0.1263)  8 Er 3.51-3.53, 4 Y 3.53
Er (0.5000, 0.0000, 0.3790)  8 Er 3.46-3.55, 2 Pu 3.46, 2 Y 3.53
Er (0.5000, 0.0000, 0.6210)  8 Er 3.46-3.55, 2 Pu 3.46, 2 Y 3.53
Er (0.5000, 0.0000, 0.8737)  8 Er 3.51-3.53, 4 Y 3.53
Er (0.5000, 0.5000, 0.0000)  4 Y 3.52, 8 Er 3.53
Er (0.5000, 0.5000, 0.2514)  8 Er 3.51-3.55, 4 Y 3.52
Er (0.5000, 0.5000, 0.5000)  8 Er 3.46, 4 Pu 3.52
Er (0.5000, 0.5000, 0.7486)  8 Er 3.51-3.55, 4 Y 3.52
Pu (0.0000, 0.0000, 0.5000)  12 Er 3.46-3.52

Calculated values
E_tot   -5.486 eV/atom
Crystal system   tetragonal
Energy of formation   44 meV/atom

***

Record 3
Y2Er6Pu | GGA-PBE | optimized geometry

Lattice parameters (Å, degrees): 7.5425 7.5425 7.5425 57.37 57.37 57.37
Last column: nearest neighbours and their distance in Å.
Fractional positions:
Y (0.0000, 0.0000, 0.0000)  9 Er 3.37-3.62, 1 Y 3.37
Y (0.1792, 0.1792, 0.1792)  1 Y 3.37, 9 Er 3.51-3.63
Er (0.1539, 0.7007, 0.7007)  1 Pu 2.78
Er (0.4983, 0.4983, 0.9809)  1 Pu 2.97
Er (0.4983, 0.9809, 0.4983)  1 Pu 2.97
Er (0.7007, 0.1539, 0.7007)  1 Pu 2.78
Er (0.7007, 0.7007, 0.1539)  1 Pu 2.78
Er (0.9809, 0.4983, 0.4983)  1 Pu 2.97
Pu (0.4340, 0.4340, 0.4340)  6 Er 2.78-2.97

Calculated values
E_tot   -5.735 eV/atom
Offset from the most stable computed form   0.2862 eV per atom
Crystal system   trigonal
Energy of formation   336 meV/atom

***

Record 4
Y3Er4Pu | GGA-PBE | optimized geometry

Lattice parameters (Å, degrees): 8.7693 8.7693 3.3438 90.00 90.00 96.61
Last column: nearest neighbours and their distance in Å.
Fractional positions:
Y (0.0000, 0.0000, 0.0000)  2 Y 3.34, 6 Er 3.40-3.51
Y (0.0000, 0.5000, 0.5000)  6 Er 3.28-3.36, 2 Y 3.34
Y (0.5000, 0.0000, 0.5000)  6 Er 3.28-3.36, 2 Y 3.34
Er (0.2597, 0.7403, 0.0000)  1 Pu 3.15, 2 Er 3.34, 5 Y 3.36-3.40
Er (0.2643, 0.2643, 0.5000)  2 Pu 3.22, 4 Y 3.28-3.51, 2 Er 3.34
Er (0.7356, 0.7356, 0.5000)  2 Pu 3.22, 4 Y 3.28-3.51, 2 Er 3.34
Er (0.7403, 0.2597, 0.0000)  1 Pu 3.15, 2 Er 3.34, 5 Y 3.36-3.40
Pu (0.5000, 0.5000, 0.0000)  6 Er 3.15-3.22, 2 Pu 3.34

Calculated values
E_tot   -6.039 eV/atom
Crystal system   orthorhombic
Energy of formation   458 meV/atom

***

Record 5
Y8Er3Pu2 | GGA-PBE | optimized geometry

Lattice parameters (Å, degrees): 10.7719 10.7719 5.6738 90.06 90.06 40.10
Last column: nearest neighbours and their distance in Å.
Fractional positions:
Y (0.1081, 0.6691, 0.9998)  1 Er 3.06, 1 Y 3.24, 2 Pu 3.37
Y (0.1773, 0.1773, 0.5004)  2 Pu 3.26-3.27, 4 Y 3.53
Y (0.3309, 0.8919, 0.0002)  1 Er 3.06, 1 Y 3.24, 2 Pu 3.37
Y (0.3587, 0.3587, 0.5000)  2 Er 3.49, 2 Pu 3.50-3.51, 7 Y 3.56-3.76
Y (0.6413, 0.6413, 0.5000)  2 Er 3.49, 2 Pu 3.50-3.51, 7 Y 3.56-3.76
Y (0.6691, 0.1081, 0.9998)  1 Er 3.06, 1 Y 3.24, 2 Pu 3.37
Y (0.8227, 0.8227, 0.4996)  2 Pu 3.26-3.27, 4 Y 3.53
Y (0.8919, 0.3309, 0.0002)  1 Er 3.06, 1 Y 3.24, 2 Pu 3.37
Er (0.2287, 0.7713, 0.5000)  3 Er 3.38-3.47, 6 Y 3.49-3.63
Er (0.5000, 0.5000, 0.0000)  4 Y 3.06
Er (0.7713, 0.2287, 0.5000)  3 Er 3.38-3.47, 6 Y 3.49-3.63
Pu (0.2572, 0.2572, 0.0005)  8 Y 3.26-3.51
Pu (0.7428, 0.7428, 0.9995)  8 Y 3.26-3.51

Calculated values
E_tot   -6.942 eV/atom
Crystal system   monoclinic
Energy of formation   293 meV/atom

***

Record 6
Y8Er2Pu | GGA-PBE | optimized geometry

Lattice parameters (Å, degrees): 6.5286 6.5286 10.7535 115.02 115.02 64.70
Last column: nearest neighbours and their distance in Å.
Fractional positions:
Y (0.2319, 0.7354, 0.7281)  1 Pu 3.33, 7 Y 3.38-3.72, 3 Er 3.40-3.59
Y (0.2646, 0.7681, 0.2719)  1 Pu 3.33, 7 Y 3.38-3.72, 3 Er 3.40-3.59
Y (0.3145, 0.3145, 0.9449)  1 Er 3.36, 5 Y 3.55-3.65
Y (0.3205, 0.3205, 0.3755)  7 Y 3.38-3.72, 3 Er 3.39-3.51
Y (0.6795, 0.6795, 0.6245)  7 Y 3.38-3.72, 3 Er 3.39-3.51
Y (0.6855, 0.6855, 0.0551)  1 Er 3.36, 5 Y 3.55-3.65
Y (0.7354, 0.2319, 0.7281)  1 Pu 3.33, 7 Y 3.38-3.72, 3 Er 3.40-3.59
Y (0.7681, 0.2646, 0.2719)  1 Pu 3.33, 7 Y 3.38-3.72, 3 Er 3.40-3.59
Er (0.1728, 0.1728, 0.5862)  1 Er 3.30, 10 Y 3.36-3.59
Er (0.8272, 0.8272, 0.4138)  1 Er 3.30, 10 Y 3.36-3.59
Pu (0.0000, 0.0000, 0.0000)  4 Y 3.33

Calculated values
E_tot   -6.676 eV/atom
Crystal system   monoclinic
Energy of formation   157 meV/atom

***

Record 7
Y12Er7Pu | GGA-PBE | optimized geometry

Lattice parameters (Å, degrees): 11.3164 11.3164 11.3164 116.85 116.85 116.85
Last column: nearest neighbours and their distance in Å.
Fractional positions:
Y (0.0020, 0.4130, 0.5840)  3 Y 3.30-3.39, 2 Er 3.32-3.33
Y (0.0665, 0.0725, 0.4213)  4 Er 3.26-3.56, 1 Y 3.31
Y (0.0725, 0.4213, 0.0665)  4 Er 3.26-3.56, 1 Y 3.31
Y (0.4130, 0.5840, 0.0020)  3 Y 3.30-3.39, 2 Er 3.32-3.33
Y (0.4160, 0.9980, 0.5870)  3 Y 3.30-3.39, 2 Er 3.32-3.33
Y (0.4213, 0.0665, 0.0725)  4 Er 3.26-3.56, 1 Y 3.31
Y (0.5787, 0.9335, 0.9275)  4 Er 3.26-3.56, 1 Y 3.31
Y (0.5840, 0.0020, 0.4130)  3 Y 3.30-3.39, 2 Er 3.32-3.33
Y (0.5870, 0.4160, 0.9980)  3 Y 3.30-3.39, 2 Er 3.32-3.33
Y (0.9275, 0.5787, 0.9335)  4 Er 3.26-3.56, 1 Y 3.31
Y (0.9335, 0.9275, 0.5787)  4 Er 3.26-3.56, 1 Y 3.31
Y (0.9980, 0.5870, 0.4160)  3 Y 3.30-3.39, 2 Er 3.32-3.33
Er (0.0000, 0.0000, 0.0000)  2 Pu 3.05, 6 Er 3.27
Er (0.1475, 0.3914, 0.3853)  1 Pu 2.93, 1 Y 3.26, 1 Er 3.27
Er (0.3853, 0.1475, 0.3914)  1 Pu 2.93, 1 Y 3.26, 1 Er 3.27
Er (0.3914, 0.3853, 0.1475)  1 Pu 2.93, 1 Y 3.26, 1 Er 3.27
Er (0.6086, 0.6147, 0.8525)  1 Pu 2.93, 1 Y 3.26, 1 Er 3.27
Er (0.6147, 0.8525, 0.6086)  1 Pu 2.93, 1 Y 3.26, 1 Er 3.27
Er (0.8525, 0.6086, 0.6147)  1 Pu 2.93, 1 Y 3.26, 1 Er 3.27
Pu (0.5000, 0.5000, 0.5000)  8 Er 2.93-3.05

Calculated values
E_tot   -5.934 eV/atom
Offset from the most stable computed form   0.1360 eV per atom
Crystal system   trigonal
Energy of formation   258 meV/atom

***

Record 8
Y12Er7Pu | GGA-PBE | optimized geometry

Lattice parameters (Å, degrees): 9.5192 9.5192 9.5192 110.76 110.76 110.76
Last column: nearest neighbours and their distance in Å.
Fractional positions:
Y (0.0739, 0.3763, 0.5859)  4 Er 3.50-3.53, 8 Y 3.58-3.75
Y (0.0986, 0.7318, 0.1562)  4 Er 3.40-3.61, 8 Y 3.57-3.75
Y (0.1562, 0.0986, 0.7318)  4 Er 3.40-3.61, 8 Y 3.57-3.75
Y (0.2682, 0.8438, 0.9014)  4 Er 3.40-3.61, 8 Y 3.57-3.75
Y (0.3763, 0.5859, 0.0739)  4 Er 3.50-3.53, 8 Y 3.58-3.75
Y (0.4141, 0.9261, 0.6237)  4 Er 3.50-3.53, 8 Y 3.58-3.75
Y (0.5859, 0.0739, 0.3763)  4 Er 3.50-3.53, 8 Y 3.58-3.75
Y (0.6237, 0.4141, 0.9261)  4 Er 3.50-3.53, 8 Y 3.58-3.75
Y (0.7318, 0.1562, 0.0986)  4 Er 3.40-3.61, 8 Y 3.57-3.75
Y (0.8438, 0.9014, 0.2682)  4 Er 3.40-3.61, 8 Y 3.57-3.75
Y (0.9014, 0.2682, 0.8438)  4 Er 3.40-3.61, 8 Y 3.57-3.75
Y (0.9261, 0.6237, 0.4141)  4 Er 3.50-3.53, 8 Y 3.58-3.75
Er (0.0000, 0.0000, 0.0000)  6 Er 3.58, 6 Y 3.61
Er (0.1726, 0.4632, 0.2936)  1 Pu 2.85
Er (0.2936, 0.1726, 0.4632)  1 Pu 2.85
Er (0.4632, 0.2936, 0.1726)  1 Pu 2.85
Er (0.5368, 0.7064, 0.8274)  1 Pu 2.85
Er (0.7064, 0.8274, 0.5368)  1 Pu 2.85
Er (0.8274, 0.5368, 0.7064)  1 Pu 2.85
Pu (0.5000, 0.5000, 0.5000)  6 Er 2.85

Calculated values
E_tot   -6.070 eV/atom
Offset from the most stable computed form   0.0000 eV per atom
Crystal system   trigonal
Energy of formation   122 meV/atom

***

Record 9
Y6Er8Pu | GGA-PBE | optimized geometry

Lattice parameters (Å, degrees): 8.5167 8.5167 8.5167 63.58 63.58 63.58
Last column: nearest neighbours and their distance in Å.
Fractional positions:
Y (0.0453, 0.7233, 0.6111)  4 Er 3.34-3.62, 1 Pu 3.36, 4 Y 3.50-3.64
Y (0.2767, 0.3889, 0.9547)  4 Er 3.34-3.62, 1 Pu 3.36, 4 Y 3.50-3.64
Y (0.3889, 0.9547, 0.2767)  4 Er 3.34-3.62, 1 Pu 3.36, 4 Y 3.50-3.64
Y (0.6111, 0.0453, 0.7233)  4 Er 3.34-3.62, 1 Pu 3.36, 4 Y 3.50-3.64
Y (0.7233, 0.6111, 0.0453)  4 Er 3.34-3.62, 1 Pu 3.36, 4 Y 3.50-3.64
Y (0.9547, 0.2767, 0.3889)  4 Er 3.34-3.62, 1 Pu 3.36, 4 Y 3.50-3.64
Er (0.0760, 0.0760, 0.0760)  4 Er 3.08-3.39, 3 Y 3.34
Er (0.2171, 0.2512, 0.6105)  3 Y 3.37-3.62, 5 Er 3.39-3.41, 1 Pu 3.45
Er (0.2512, 0.6105, 0.2171)  3 Y 3.37-3.62, 5 Er 3.39-3.41, 1 Pu 3.45
Er (0.3895, 0.7829, 0.7488)  3 Y 3.37-3.62, 5 Er 3.39-3.41, 1 Pu 3.45
Er (0.6105, 0.2171, 0.2512)  3 Y 3.37-3.62, 5 Er 3.39-3.41, 1 Pu 3.45
Er (0.7488, 0.3895, 0.7829)  3 Y 3.37-3.62, 5 Er 3.39-3.41, 1 Pu 3.45
Er (0.7829, 0.7488, 0.3895)  3 Y 3.37-3.62, 5 Er 3.39-3.41, 1 Pu 3.45
Er (0.9240, 0.9240, 0.9240)  4 Er 3.08-3.39, 3 Y 3.34
Pu (0.5000, 0.5000, 0.5000)  6 Y 3.36, 6 Er 3.45

Calculated values
E_tot   -5.862 eV/atom
Crystal system   trigonal
Energy of formation   112 meV/atom

***

Record 10
Y6Er2Pu | GGA-PBE | optimized geometry

Lattice parameters (Å, degrees): 6.4483 6.6286 14.9499 82.57 82.38 63.44
Last column: nearest neighbours and their distance in Å.
Fractional positions:
Y (0.0175, 0.3273, 0.4233)  1 Pu 3.14, 2 Y 3.36-3.48, 1 Er 3.46
Y (0.0634, 0.0996, 0.6623)  4 Er 3.47-3.66, 8 Y 3.51-3.85, 2 Pu 3.69-3.87
Y (0.2212, 0.7182, 0.1153)  1 Pu 3.11, 2 Y 3.28-3.37, 2 Er 3.38-3.41
Y (0.2531, 0.7782, 0.8934)  1 Pu 3.12, 2 Y 3.28-3.37, 2 Er 3.36-3.42
Y (0.2572, 0.2563, 0.9981)  9 Y 3.44-3.72, 2 Pu 3.58-3.64, 1 Er 3.81
Y (0.4535, 0.7832, 0.4654)  3 Er 3.48-3.53, 9 Y 3.48-3.79
Y (0.5465, 0.2168, 0.5346)  3 Er 3.48-3.53, 9 Y 3.48-3.79
Y (0.7428, 0.7437, 0.0019)  9 Y 3.44-3.72, 2 Pu 3.58-3.64, 1 Er 3.81
Y (0.7469, 0.2218, 0.1066)  1 Pu 3.12, 2 Y 3.28-3.37, 2 Er 3.36-3.42
Y (0.7788, 0.2818, 0.8847)  1 Pu 3.11, 2 Y 3.28-3.37, 2 Er 3.38-3.41
Y (0.9366, 0.9004, 0.3377)  4 Er 3.47-3.66, 8 Y 3.51-3.85, 2 Pu 3.69-3.87
Y (0.9825, 0.6727, 0.5767)  1 Pu 3.14, 2 Y 3.36-3.48, 1 Er 3.46
Er (0.4551, 0.9584, 0.2323)  2 Pu 3.33-3.57, 5 Y 3.36-3.66, 2 Er 3.51
Er (0.4683, 0.4303, 0.3092)  2 Pu 3.37-3.66, 7 Y 3.41-3.49, 2 Er 3.51
Er (0.5317, 0.5697, 0.6908)  2 Pu 3.37-3.66, 7 Y 3.41-3.49, 2 Er 3.51
Er (0.5449, 0.0416, 0.7677)  2 Pu 3.33-3.57, 5 Y 3.36-3.66, 2 Er 3.51
Pu (0.0312, 0.5618, 0.7854)  3 Y 3.11-3.14, 2 Er 3.33-3.37
Pu (0.9688, 0.4382, 0.2146)  3 Y 3.11-3.14, 2 Er 3.33-3.37

Calculated values
E_tot   -6.827 eV/atom
Offset from the most stable computed form   0.0000 eV per atom
Crystal system   triclinic
Energy of formation   89 meV/atom